(1)
Material: DyIn2Pd
Method: DFT, meta-GGA SCAN
State: single point on PBEsol structure

abc: 13.6143 13.6143 9.0422
angles: 90.00 90.00 90.00
With the nearest neighbours (Å) after each atom.
Space group I4mm (No. 107)
Inequivalent atoms, fractional coordinates:
Dy  0.0000  0.0000  0.0000  4 Pd 2.94, 4 In 3.28
Dy  0.0000  0.0000  0.4725  4 Pd 3.16, 8 In 3.21-3.31
Dy  0.0000  0.2800  0.3989  2 Pd 3.01, 6 In 3.09-3.21
Dy  0.2021  0.2021  0.8848  4 Pd 3.00-3.20, 6 In 3.14-3.17
In  0.0000  0.1630  0.7282  3 Pd 2.76-2.87
In  0.0000  0.3825  0.8732  3 Pd 2.72-2.78, 2 In 2.98
In  0.1305  0.1305  0.2336  3 Pd 2.77-2.84, 2 Dy 3.09
In  0.1423  0.3499  0.1356  3 Pd 2.82-2.83, 3 In 2.98-3.12, 2 Dy 3.14
Pd  0.0000  0.2143  0.0355  6 In 2.72-2.87, 1 Dy 2.94
Pd  0.0000  0.5000  0.1240  8 In 2.76-2.82
Pd  0.1608  0.1608  0.5415  5 In 2.76-2.84, 3 Dy 3.00-3.01

Properties
uncorrected energy = -37.6158 eV per atom
crystal system = tetragonal
formation energy from the elements = -0.780 eV/atom


(2)
Material: Dy2InPd2
Method: DFT, meta-GGA SCAN
State: single point on PBEsol structure

abc: 7.5917 7.5917 3.6534
angles: 90.00 90.00 90.00
With the nearest neighbours (Å) after each atom.
Space group P4/mbm (No. 127)
Inequivalent atoms, fractional coordinates:
Dy  0.1731  0.3269  0.0000  6 Pd 2.81-2.95
In  0.0000  0.0000  0.5000  4 Pd 2.99
Pd  0.1282  0.6282  0.5000  1 Pd 2.75, 6 Dy 2.81-2.95, 2 In 2.99

Properties
uncorrected energy = -39.8893 eV per atom
crystal system = tetragonal
formation energy from the elements = -0.984 eV/atom


(3)
Material: PrDyIn2
Method: DFT, meta-GGA SCAN
State: single point on PBEsol structure

abc: 7.5268 7.5268 7.5268
angles: 90.00 90.00 90.00
With the nearest neighbours (Å) after each atom.
Space group Fm-3m (No. 225)
Inequivalent atoms, fractional coordinates:
Pr  0.0000  0.0000  0.0000  8 In 3.26
Dy  0.0000  0.0000  0.5000  8 In 3.26
In  0.2500  0.2500  0.2500  4 Dy 3.26, 4 Pr 3.26

Properties
uncorrected energy = -40.1005 eV per atom
crystal system = cubic
formation energy from the elements = -0.627 eV/atom


(4)
Material: DyIn7Pt2
Method: DFT, meta-GGA SCAN
State: single point on PBEsol structure

abc: 4.4453 4.4453 22.7990
angles: 90.00 90.00 90.00
With the nearest neighbours (Å) after each atom.
Space group I4/mmm (No. 139)
Inequivalent atoms, fractional coordinates:
Dy  0.0000  0.0000  0.0000  12 In 3.14-3.30
In  0.0000  0.0000  0.5000  4 Dy 3.14, 8 In 3.30
In  0.0000  0.5000  0.1068  2 Pt 2.78
In  0.0000  0.5000  0.2500  4 Pt 2.73
Pt  0.0000  0.0000  0.3199  8 In 2.73-2.78

Properties
uncorrected energy = -42.7141 eV per atom
crystal system = tetragonal
formation energy from the elements = -0.525 eV/atom


(5)
Material: DyInPt2
Method: DFT, meta-GGA SCAN
State: single point on PBEsol structure

abc: 4.5195 4.5195 8.8577
angles: 90.00 90.00 120.00
With the nearest neighbours (Å) after each atom.
Space group P6_3/mmc (No. 194)
Inequivalent atoms, fractional coordinates:
Dy  0.3333  0.6667  0.2500  8 Pt 2.97-3.02
In  0.0000  0.0000  0.0000  6 Pt 2.73
Pt  0.3333  0.6667  0.5910  3 In 2.73, 1 Pt 2.82, 4 Dy 2.97-3.02

Properties
uncorrected energy = -56.5136 eV per atom
crystal system = hexagonal
formation energy from the elements = -1.121 eV/atom


(6)
Material: DyIn4Pt4
Method: DFT, meta-GGA SCAN
State: single point on PBEsol structure

abc: 4.5348 4.5348 19.8674
angles: 90.00 90.00 120.00
With the nearest neighbours (Å) after each atom.
Space group P6_3/mmc (No. 194)
Inequivalent atoms, fractional coordinates:
Dy  0.3333  0.6667  0.2500  8 Pt 2.96-3.06
In  0.0000  0.0000  0.1430  6 Pt 2.72-2.78
In  0.3333  0.6667  0.5415  5 Pt 2.73-2.83
Pt  0.3333  0.6667  0.0958  7 In 2.73-2.83
Pt  0.3333  0.6667  0.6802  4 In 2.72-2.76, 1 Pt 2.77, 3 Dy 2.96

Properties
uncorrected energy = -52.1833 eV per atom
crystal system = hexagonal
formation energy from the elements = -0.837 eV/atom


(7)
Material: Dy2In16Pt7
Method: DFT, meta-GGA SCAN
State: single point on PBEsol structure

abc: 12.1121 19.9443 4.3862
angles: 90.00 90.00 90.00
With the nearest neighbours (Å) after each atom.
Space group Cmmm (No. 65)
Inequivalent atoms, fractional coordinates:
Dy  0.1700  0.0000  0.0000  4 Pt 3.14, 10 In 3.24-3.34
In  0.0000  0.0728  0.5000  2 Pt 2.80, 1 In 2.90
In  0.1240  0.1627  0.0000  3 Pt 2.71-2.73, 1 In 3.00
In  0.1308  0.3870  0.0000  4 Pt 2.72-2.82
In  0.1326  0.5000  0.5000  4 Pt 2.72-2.77
In  0.1362  0.2769  0.5000  3 Pt 2.74-2.85, 1 In 2.96
Pt  0.0000  0.2760  0.0000  8 In 2.71-2.74
Pt  0.0000  0.5000  0.0000  8 In 2.72-2.76
Pt  0.2234  0.1081  0.5000  7 In 2.73-2.85

Properties
uncorrected energy = -45.5062 eV per atom
crystal system = orthorhombic
formation energy from the elements = -0.661 eV/atom


(8)
Material: DyInRh2
Method: DFT, meta-GGA SCAN
State: single point on PBEsol structure

abc: 6.5296 6.5296 6.5296
angles: 90.00 90.00 90.00
With the nearest neighbours (Å) after each atom.
Space group Fm-3m (No. 225)
Inequivalent atoms, fractional coordinates:
Dy  0.0000  0.0000  0.0000  8 Rh 2.83
In  0.0000  0.0000  0.5000  8 Rh 2.83
Rh  0.2500  0.2500  0.2500  4 In 2.83, 4 Dy 2.83

Properties
uncorrected energy = -38.0297 eV per atom
crystal system = cubic
formation energy from the elements = -0.848 eV/atom


(9)
Material: Dy4In5S13
Method: DFT, meta-GGA SCAN
State: single point on PBEsol structure

abc: 11.7628 21.1121 3.7999
angles: 90.00 90.00 90.00
With the nearest neighbours (Å) after each atom.
Space group Pbam (No. 55)
Inequivalent atoms, fractional coordinates:
Dy  0.0174  0.1728  0.0000  7 S 2.78-2.83
Dy  0.1758  0.3398  0.0000  6 S 2.74-2.86
In  0.0000  0.5000  0.0000  6 S 2.47-2.74
In  0.1542  0.9915  0.5000  6 S 2.56-2.68
In  0.1579  0.6678  0.5000  4 S 2.45-2.48
S  0.0000  0.0000  0.0000  4 In 2.63
S  0.0061  0.4063  0.5000  3 In 2.48-2.74
S  0.0858  0.2608  0.5000  4 Dy 2.74-2.78
S  0.1481  0.8645  0.5000  1 In 2.68, 4 Dy 2.83-2.86
S  0.1548  0.1137  0.5000  2 In 2.48-2.58
S  0.1639  0.7412  0.0000  2 In 2.45
S  0.2041  0.4727  0.0000  3 In 2.47-2.56

Properties
uncorrected energy = -23.3568 eV per atom
crystal system = orthorhombic
energy relative to the elements, uncorrected = -1.389 eV/atom


(10)
Material: Dy11In6Si4
Method: DFT, meta-GGA SCAN
State: single point on PBEsol structure

abc: 11.3152 11.3152 15.9050
angles: 90.00 90.00 90.00
With the nearest neighbours (Å) after each atom.
Space group I4/mmm (No. 139)
Inequivalent atoms, fractional coordinates:
Dy  0.0000  0.0000  0.1683  8 In 3.30-3.38, 1 Si 3.40, 4 Dy 3.67
Dy  0.0000  0.2503  0.3152  3 Si 3.01-3.14, 4 In 3.31-3.37
Dy  0.0000  0.3470  0.1006  3 Si 2.92-2.94, 2 In 3.04, 1 Dy 3.20
Dy  0.1668  0.1668  0.5000  2 Si 2.78
In  0.1286  0.1286  0.0000  4 In 2.91-2.99
In  0.2063  0.2063  0.1708  2 In 2.88-2.99, 2 Dy 3.04
Si  0.0000  0.0000  0.3819  8 Dy 3.02-3.26
Si  0.0000  0.3471  0.5000  6 Dy 2.78-2.92
Si  0.0000  0.5000  0.2500  8 Dy 2.94-3.01

Properties
uncorrected energy = -37.1944 eV per atom
crystal system = tetragonal
energy relative to the elements, uncorrected = -0.711 eV/atom


(11)
Material: Dy2TlIn
Method: DFT, meta-GGA SCAN
State: single point on PBEsol structure

abc: 7.4176 7.4176 7.4176
angles: 90.00 90.00 90.00
With the nearest neighbours (Å) after each atom.
Space group Fm-3m (No. 225)
Inequivalent atoms, fractional coordinates:
Dy  0.2500  0.2500  0.2500  4 Tl 3.21, 4 In 3.21
Tl  0.0000  0.0000  0.0000  8 Dy 3.21
In  0.0000  0.0000  0.5000  8 Dy 3.21

Properties
uncorrected energy = -50.9051 eV per atom
crystal system = cubic
formation energy from the elements = -0.571 eV/atom


(12)
Material: DyTmIn2
Method: DFT, meta-GGA SCAN
State: single point on PBEsol structure

abc: 7.3421 7.3421 7.3421
angles: 90.00 90.00 90.00
With the nearest neighbours (Å) after each atom.
Space group Fm-3m (No. 225)
Inequivalent atoms, fractional coordinates:
Dy  0.0000  0.0000  0.0000  8 In 3.18
Tm  0.0000  0.0000  0.5000  8 In 3.18
In  0.2500  0.2500  0.2500  4 Dy 3.18, 4 Tm 3.18

Properties
uncorrected energy = -42.1950 eV per atom
crystal system = cubic
formation energy from the elements = -0.595 eV/atom